Entry 1:
DFT (PBE) results for V4Ga3W after structural relaxation.

Structure (POSCAR):
```
V4Ga3W
1.0
-5.0922 -1.4549 2.0159
-1.0624 -2.9354 -4.8023
2.7979 -5.7665 2.9058
V Ga W
8 6 2
direct
0.3144 0.0001 0.0000
0.3144 0.5000 0.0000
0.0644 0.2504 0.2500
0.5644 0.7496 0.2500
0.8144 0.5000 0.5000
0.8144 0.9999 0.5000
0.5644 0.7496 0.7500
0.0644 0.2504 0.7500
0.8145 0.0000 0.0000
0.0644 0.7511 0.2500
0.5644 0.2489 0.2500
0.3145 0.0000 0.5000
0.5644 0.2489 0.7500
0.0644 0.7511 0.7500
0.8144 0.5000 0.0000
0.3144 0.5000 0.5000
```

Properties
- ΔH_f (0 K): -66 meV per atom
- Size of the total moment: 0.00 μB/f.u.
- DOS at the Fermi energy: 11.9 states/eV/cell


Entry 2:
DFT (PBE) results for KAcSn2 after structural relaxation.

Structure (POSCAR):
```
KAcSn2
1.0
-1.1247 -4.3185 2.0545
2.2451 -2.4716 -3.9661
4.5200 0.0309 2.5394
K Ac Sn
1 1 2
direct
0.5000 0.5000 0.5000
0.5000 0.0000 0.0000
0.0000 0.0000 0.5000
0.0000 0.5000 0.0000
```

Properties
- ΔH_f (0 K): -348 meV per atom
- Size of the total moment: 0.00 μB/f.u.
- DOS at the Fermi energy: 1.2 states/eV/cell


Entry 3:
DFT (PBE) results for Ta2AlTl after structural relaxation.

Structure (POSCAR):
```
Ta2AlTl
1.0
-3.0352 -0.9257 1.5814
1.7272 -0.4233 3.0673
-1.0318 5.7255 1.3711
Tl Al Ta
1 1 2
direct
0.5000 0.5000 0.2500
0.5000 0.5000 0.7500
0.0000 0.0000 0.9731
0.0000 0.0000 0.5269
```

Properties
- ΔH_f (0 K): 395 meV per atom
- Size of the total moment: 0.00 μB/f.u.
- DOS at the Fermi energy: 2.4 states/eV/cell


Entry 4:
DFT (PBE) results for LaAuNO2 after structural relaxation.

Structure (POSCAR):
```
LaAuNO2
1.0
-2.6973 -2.1247 -2.5098
2.3098 -3.5346 0.5100
-2.7897 -1.2390 4.0470
N Au O La
1 1 2 1
direct
0.0000 0.0000 0.5000
0.5000 0.5000 0.5000
0.0000 0.5000 0.0000
0.5000 0.0000 0.0000
0.0000 0.0000 0.0000
```

Properties
- Raw formation energy: 134.6 meV per atom
- Size of the total moment: 0.45 μB/f.u.
- DOS at the Fermi energy: 6.2 states/eV/cell